## Mg2TaPb (PBE)

Data for an optimized crystal structure of Mg2TaPb.

CIF file:
```
data_Mg2TaPb
_space_group_name_H-M_alt 'P m m m'
_space_group_IT_number 47
_cell_length_a 3.189
_cell_length_b 4.406
_cell_length_c 6.121
_cell_angle_alpha 90.00
_cell_angle_beta 90.00
_cell_angle_gamma 90.00
loop_
_space_group_symop_operation_xyz
'x,y,z'
'-x,-y,-z'
'-x,-y,z'
'x,y,-z'
'x,-y,-z'
'-x,y,z'
'-x,y,-z'
'x,-y,z'
loop_
_atom_site_label
_atom_site_fract_x
_atom_site_fract_y
_atom_site_fract_z
_atom_site_occupancy
Mg1 0.000 0.000 0.225 1
Ta1 0.500 0.500 0.000 1
Pb1 0.500 0.500 0.500 1
```

Results
**N(E_F)**: 0.74 states/eV/atom
**Raw total energy**: -4.3487 eV/atom
**Calculated formation energy**: 0.3388 eV/atom
**Total moment**: 0.0 Bohr magnetons per cell
**V**: 21.5 A^3/atom
**Crystal system**: orthorhombic